Computed, not measured: LiSn2Ru2 after structural relaxation at the PBEsol level of DFT.

Output
Energy (eV per formula unit): -31.37
Magnetization (μB per formula unit): 0.0

Cell lengths 7.5065, 7.5065, 3.0653 Å; angles 90.00, 90.00, 90.00 degrees
Last column: nearest neighbours and their distance in Å.
Atoms (fractional coordinates):
Li  0.0000  0.0000  0.0000  4 Sn 2.85, 2 Li 3.07
Li  0.5000  0.5000  0.0000  4 Sn 2.85, 2 Li 3.07
Sn  0.1531  0.3469  0.0000  6 Ru 2.65-2.70, 2 Li 2.85
Sn  0.3469  0.8469  0.0000  6 Ru 2.65-2.70, 2 Li 2.85
Sn  0.6531  0.1531  0.0000  6 Ru 2.65-2.70, 2 Li 2.85
Sn  0.8469  0.6531  0.0000  6 Ru 2.65-2.70, 2 Li 2.85
Ru  0.1433  0.6433  0.5000  6 Sn 2.65-2.70
Ru  0.3567  0.1433  0.5000  6 Sn 2.65-2.70
Ru  0.6433  0.8567  0.5000  6 Sn 2.65-2.70
Ru  0.8567  0.3567  0.5000  6 Sn 2.65-2.70